Entry 1:
Below is a relaxed structure of Tm3Cd2Hg4, with properties calculated at the PBE level.

Results
Space group: No. 12

a b c (Å): 4.9378 5.9796 9.1534
angles (deg): 116.78 90.00 114.39
With the nearest neighbours (Å) after each atom.
Sites, in units of the cell vectors:
Tm: 0.6645 0.3290 0.6697  8 Hg 3.25-3.35, 4 Cd 3.26-3.34, 2 Tm 3.39-3.40
Tm: 0.0000 0.0000 0.0000  8 Hg 3.25-3.38, 4 Cd 3.33, 2 Tm 3.40
Tm: 0.3355 0.6710 0.3303  8 Hg 3.25-3.35, 4 Cd 3.26-3.34, 2 Tm 3.39-3.40
Cd: 0.6122 0.2244 0.2809  3 Hg 2.82-2.83
Cd: 0.3878 0.7756 0.7191  3 Hg 2.82-2.83
Hg: 0.7119 0.4238 0.0494  1 Cd 2.82, 2 Hg 2.89
Hg: 0.2881 0.5762 0.9506  1 Cd 2.82, 2 Hg 2.89
Hg: 0.9360 0.8719 0.6055  2 Cd 2.83, 1 Hg 2.89
Hg: 0.0640 0.1281 0.3945  2 Cd 2.83, 1 Hg 2.89


Entry 2:
Below is a relaxed structure of Tm3Cd2Hg, with properties calculated at the PBE level.

Results
Space group: No. 164

a b c (Å): 5.2055 5.2055 6.4034
angles (deg): 90.00 90.00 120.00
With the nearest neighbours (Å) after each atom.
Sites, in units of the cell vectors:
Tm: 0.0000 0.0000 0.5000  6 Cd 3.16, 2 Hg 3.20
Tm: 0.6667 0.3333 0.8400  5 Cd 3.16-3.24, 3 Hg 3.18
Tm: 0.3333 0.6667 0.1600  5 Cd 3.16-3.24, 3 Hg 3.18
Cd: 0.6667 0.3333 0.3464  8 Tm 3.16-3.24
Cd: 0.3333 0.6667 0.6536  8 Tm 3.16-3.24
Hg: 0.0000 0.0000 0.0000  8 Tm 3.18-3.20


no.,M_tot (μB/f.u.),energy (Ha/atom)
1,0.000,-0.07988
2,0.000,-0.10871